Cd2CoTcP: optimized geometry, GGA-PBE.

The calculation puts the volume at 98 Å³/f.u. The calculation puts the total magnetic moment at 3.14 μB per cell. For the formation energy from the elements, the calculation gives 0.77 eV per atom.

Cell: 4.9344 4.0355 4.9344 Å, 90.00 90.00 90.00°
Closest atoms and distances in Å follow each position.
Fractional coordinates of all 5 atoms:
Cd: 0.5000 0.0000 0.0000  2 Co 2.47
Tc: 0.5000 0.5000 0.5000  8 Cd 3.19, 4 P 3.49
Co: 0.0000 0.0000 0.0000  2 P 2.02
P: 0.0000 0.5000 0.0000  2 Co 2.02
Cd: 0.0000 0.0000 0.5000  2 Co 2.47

***

Tl2CdCoP: optimized geometry, GGA-PBE.

The calculation puts the volume at 121 Å³/f.u. The calculation puts the total magnetic moment at 1.58 μB per cell. For the formation energy from the elements, the calculation gives 0.18 eV per atom.

Cell: 5.3440 4.2221 5.3440 Å, 90.00 90.00 90.00°
Closest atoms and distances in Å follow each position.
Fractional coordinates of all 5 atoms:
Tl: 0.5000 0.0000 0.0000  2 Co 2.67
Tl: 0.0000 0.0000 0.5000  2 Co 2.67
P: 0.0000 0.5000 0.0000  2 Co 2.11
Co: 0.0000 0.0000 0.0000  2 P 2.11
Cd: 0.5000 0.5000 0.5000  8 Tl 3.41, 4 P 3.78

***

V2CdCoP: optimized geometry, GGA-PBE.

The calculation puts the volume at 101 Å³/f.u. The calculation puts the total magnetic moment at 0.02 μB per cell. For the formation energy from the elements, the calculation gives 2.07 eV per atom.

Cell: 4.7262 4.5013 4.7262 Å, 90.00 90.00 90.00°
Closest atoms and distances in Å follow each position.
Fractional coordinates of all 5 atoms:
V: 0.0000 0.0000 0.5000  2 Cd 2.36
V: 0.5000 0.0000 0.0000  2 Cd 2.36
Co: 0.0000 0.5000 0.0000  2 Cd 2.25
P: 0.5000 0.5000 0.5000  8 V 3.26, 4 Co 3.34
Cd: 0.0000 0.0000 0.0000  2 Co 2.25, 4 V 2.36

***

CdCoPW: optimized geometry, GGA-PBE.

The calculation puts the volume at 61 Å³/f.u. The calculation puts the total magnetic moment at 0.00 μB per cell. For the formation energy from the elements, the calculation gives -0.02 eV per atom.

Cell: 3.1035 3.1035 7.3609 Å, 90.00 90.00 120.00°
Closest atoms and distances in Å follow each position.
Fractional coordinates of all 4 atoms:
Co: 0.3333 0.6667 0.7167  3 P 2.19
P: 0.6667 0.3333 0.5464  3 Co 2.19, 3 W 2.39
Cd: 0.6667 0.3333 0.0051  3 Co 2.78, 3 W 3.00, 6 Cd 3.10
W: 0.3333 0.6667 0.3312  3 P 2.39

***

CdCoPW: optimized geometry, GGA-PBE.

The calculation puts the volume at 61 Å³/f.u. The calculation puts the total magnetic moment at 1.02 μB per cell. For the formation energy from the elements, the calculation gives 0.11 eV per atom.

Cell: 2.7547 2.7547 16.1985 Å, 90.00 90.00 90.00°
Closest atoms and distances in Å follow each position.
Fractional coordinates of all 8 atoms:
Co: 0.0000 0.0000 0.7225  4 P 2.28
W: 0.0000 0.0000 0.3435  4 W 2.75, 4 Co 2.76, 4 Cd 3.01
Cd: 0.5000 0.5000 0.4848  1 P 2.67, 4 Cd 2.75
Co: 0.5000 0.5000 0.2225  4 P 2.28
W: 0.5000 0.5000 0.8435  4 W 2.75, 4 Co 2.76, 4 Cd 3.01
P: 0.0000 0.0000 0.1495  4 Co 2.28
P: 0.5000 0.5000 0.6495  4 Co 2.28
Cd: 0.0000 0.0000 0.9848  1 P 2.67, 4 Cd 2.75

***

CdCoPW: optimized geometry, GGA-PBE.

The calculation puts the volume at 60 Å³/f.u. The calculation puts the total magnetic moment at 0.00 μB per cell. For the formation energy from the elements, the calculation gives 0.01 eV per atom.

Cell: 3.2998 3.1248 11.5431 Å, 90.00 90.00 90.00°
Closest atoms and distances in Å follow each position.
Fractional coordinates of all 8 atoms:
Co: 0.5000 0.0000 0.6263  2 P 2.15
Cd: 0.0000 0.5000 0.5007  4 Co 2.70, 1 P 2.95
W: 0.5000 0.0000 0.3281  4 P 2.47
P: 0.0000 0.5000 0.2453  2 Co 2.15
P: 0.0000 0.0000 0.7453  2 Co 2.15
Co: 0.5000 0.5000 0.1263  2 P 2.15
Cd: 0.0000 0.0000 0.0007  4 Co 2.70, 1 P 2.95
W: 0.5000 0.5000 0.8281  4 P 2.47